Entry from Alexandria: a relaxed structure of AcMgSbPb (PBE).

abc: 5.5796 5.5796 5.5796
angles: 60.00 60.00 60.00
With the nearest neighbours (Å) after each atom.
Atoms (fractional coordinates):
Ac: 0.0000 0.0000 0.0000  4 Pb 3.42, 4 Sb 3.42
Mg: 0.5000 0.5000 0.5000  4 Pb 3.42, 4 Sb 3.42
Sb: 0.7500 0.7500 0.7500  4 Ac 3.42, 4 Mg 3.42
Pb: 0.2500 0.2500 0.2500  4 Ac 3.42, 4 Mg 3.42

Values from the calculation:
* mass density: 7.8 g cm⁻³
* magnetic moment: 0.000 μB per formula unit
* E_form (uncorrected): -0.350 eV per atom

=====

Entry from Alexandria: a relaxed structure of AcSmMgPb (PBE).

abc: 5.6595 5.6595 5.6595
angles: 60.00 60.00 60.00
With the nearest neighbours (Å) after each atom.
Atoms (fractional coordinates):
Ac: 0.0000 0.0000 0.0000  4 Pb 3.47, 4 Mg 3.47
Sm: 0.5000 0.5000 0.5000  4 Pb 3.47, 4 Mg 3.47
Mg: 0.2500 0.2500 0.2500  4 Sm 3.47, 4 Ac 3.47
Pb: 0.7500 0.7500 0.7500  4 Sm 3.47, 4 Ac 3.47

Values from the calculation:
* VASP energy: -3.805 eV per atom
* mass density: 7.9 g cm⁻³
* magnetic moment: 0.000 μB per formula unit

=====

Entry from Alexandria: a relaxed structure of Ac2Mg5Sn3Pb2 (PBE).

abc: 18.2086 18.2086 18.2086
angles: 165.40 165.40 20.71
With the nearest neighbours (Å) after each atom.
Atoms (fractional coordinates):
Ac: 0.2125 0.2125 0.0000  5 Sn 3.38-3.55, 4 Mg 3.68
Ac: 0.7875 0.7875 0.0000  5 Sn 3.38-3.55, 4 Mg 3.68
Mg: 0.0000 0.0000 0.0000  2 Pb 2.87
Mg: 0.1328 0.6328 0.5000  2 Pb 2.99, 2 Sn 3.05, 4 Mg 3.27
Mg: 0.3672 0.8672 0.5000  2 Pb 2.99, 2 Sn 3.05, 4 Mg 3.27
Mg: 0.6328 0.1328 0.5000  2 Pb 2.99, 2 Sn 3.05, 4 Mg 3.27
Mg: 0.8672 0.3672 0.5000  2 Pb 2.99, 2 Sn 3.05, 4 Mg 3.27
Sn: 0.3116 0.3116 0.0000  4 Mg 3.05, 4 Ac 3.38
Sn: 0.5000 0.5000 0.0000  4 Mg 3.27
Sn: 0.6884 0.6884 0.0000  4 Mg 3.05, 4 Ac 3.38
Pb: 0.0800 0.0800 0.0000  5 Mg 2.87-2.99
Pb: 0.9200 0.9200 0.0000  5 Mg 2.87-2.99

Values from the calculation:
* VASP energy: -3.108 eV per atom
* mass density: 5.8 g cm⁻³
* magnetic moment: 0.783 μB per formula unit

=====

Entry from Alexandria: a relaxed structure of Ac2Mg4Sn3Pb (PBE).

abc: 4.9562 4.9562 11.6387
angles: 90.00 90.00 90.00
With the nearest neighbours (Å) after each atom.
Atoms (fractional coordinates):
Ac: 0.0000 0.5000 0.2372  2 Pb 3.71, 6 Sn 3.71-3.80, 8 Mg 3.74-3.94
Ac: 0.5000 0.0000 0.7628  6 Sn 3.71-3.80, 2 Pb 3.71, 8 Mg 3.74-3.94
Mg: 0.0000 0.0000 0.5000  4 Sn 2.95
Mg: 0.0000 0.5000 0.8738  3 Sn 2.75-2.88, 2 Pb 2.88
Mg: 0.5000 0.0000 0.1262  3 Sn 2.75-2.88, 2 Pb 2.88
Mg: 0.5000 0.5000 0.5000  4 Sn 2.95
Sn: 0.0000 0.0000 0.0000  4 Mg 2.88
Sn: 0.0000 0.5000 0.6373  5 Mg 2.75-2.95
Sn: 0.5000 0.0000 0.3627  5 Mg 2.75-2.95
Pb: 0.5000 0.5000 0.0000  4 Mg 2.88

Values from the calculation:
* VASP energy: -3.429 eV per atom
* mass density: 6.5 g cm⁻³
* magnetic moment: 0.000 μB per formula unit

=====

Entry from Alexandria: a relaxed structure of AcMg2TlPb (PBE).

abc: 6.5046 6.5046 9.8354
angles: 90.00 90.00 134.72
With the nearest neighbours (Å) after each atom.
Atoms (fractional coordinates):
Ac: 0.0402 0.9598 0.7500  3 Pb 3.37-3.63, 4 Tl 3.54
Ac: 0.9598 0.0402 0.2500  3 Pb 3.37-3.63, 4 Tl 3.54
Mg: 0.2547 0.7453 0.0875  3 Mg 3.04-3.20, 1 Tl 3.07, 2 Pb 3.11
Mg: 0.2547 0.7453 0.4125  3 Mg 3.04-3.20, 1 Tl 3.07, 2 Pb 3.11
Mg: 0.7453 0.2547 0.5875  3 Mg 3.04-3.20, 1 Tl 3.07, 2 Pb 3.11
Mg: 0.7453 0.2547 0.9125  3 Mg 3.04-3.20, 1 Tl 3.07, 2 Pb 3.11
Tl: 0.5000 0.5000 0.0000  2 Mg 3.07, 2 Pb 3.27
Tl: 0.5000 0.5000 0.5000  2 Mg 3.07, 2 Pb 3.27
Pb: 0.3209 0.6791 0.7500  6 Mg 3.11-3.41, 2 Tl 3.27, 1 Ac 3.37
Pb: 0.6791 0.3209 0.2500  6 Mg 3.11-3.41, 2 Tl 3.27, 1 Ac 3.37

Values from the calculation:
* VASP energy: -2.897 eV per atom
* mass density: 7.7 g cm⁻³
* magnetic moment: 0.000 μB per formula unit

=====

Entry from Alexandria: a relaxed structure of AcMgTlPb (PBE).

abc: 4.7755 5.0290 5.1542
angles: 90.00 90.00 90.00
With the nearest neighbours (Å) after each atom.
Atoms (fractional coordinates):
Ac: 0.0000 0.0000 0.0000  4 Pb 3.47, 4 Tl 3.51, 4 Mg 3.60
Mg: 0.0000 0.5000 0.5000  4 Tl 3.47, 4 Pb 3.51, 4 Ac 3.60
Tl: 0.5000 0.0000 0.5000  4 Mg 3.47, 4 Ac 3.51, 4 Pb 3.60
Pb: 0.5000 0.5000 0.0000  4 Ac 3.47, 4 Mg 3.51, 4 Tl 3.60

Values from the calculation:
* mass density: 8.9 g cm⁻³
* magnetic moment: 0.000 μB per formula unit
* polymorph energy (0 for the lowest one): 0.0 meV per atom